No. 1
Material: NaLiMg2Sn
Method: DFT, PBE-GGA
State: relaxed

Cell and atoms, written as POSCAR:
```
NaLiMg2Sn
1.0
5.4968 0.0000 0.0000
0.0000 5.4968 0.0000
0.0000 0.0000 5.3196
Na Li Mg Sn
1 1 2 1
direct
0.0000 0.0000 0.0000
0.5000 0.5000 0.0000
0.0000 0.5000 0.5000
0.5000 0.0000 0.5000
0.5000 0.5000 0.5000
```

M_tot   0.00 Bohr magnetons per cell
DFT formation energy   0.15 eV/atom
Energy   -9.7 eV/cell

=====

No. 2
Material: NaSrLiMg2
Method: DFT, PBE-GGA
State: relaxed

Cell and atoms, written as POSCAR:
```
NaSrLiMg2
1.0
5.3781 0.0000 0.0000
0.0000 5.3781 0.0000
0.0000 0.0000 5.3376
Na Sr Li Mg
1 1 1 2
direct
0.0000 0.0000 0.0000
0.5000 0.5000 0.0000
0.0000 0.0000 0.5000
0.0000 0.5000 0.5000
0.5000 0.0000 0.5000
```

M_tot   0.00 Bohr magnetons per cell
DFT formation energy   0.12 eV/atom
Energy   -7.5 eV/cell

=====

No. 3
Material: NaSr2Li5Mg2
Method: DFT, PBE-GGA
State: relaxed

Cell and atoms, written as POSCAR:
```
NaSr2Li5Mg2
1.0
11.5839 0.0000 0.0000
0.0000 11.5839 0.0000
0.0000 0.0000 4.5703
Na Sr Li Mg
2 4 10 4
direct
0.0000 0.0000 0.0000
0.5000 0.5000 0.0000
0.1846 0.3154 0.0000
0.3154 0.8154 0.0000
0.6846 0.1846 0.0000
0.8154 0.6846 0.0000
0.0000 0.5000 0.5000
0.0610 0.7810 0.5000
0.2190 0.0610 0.5000
0.2810 0.5610 0.5000
0.4390 0.2810 0.5000
0.5000 0.0000 0.5000
0.5610 0.7190 0.5000
0.7190 0.4390 0.5000
0.7810 0.9390 0.5000
0.9390 0.2190 0.5000
0.1071 0.6071 0.0000
0.3929 0.1071 0.0000
0.6071 0.8929 0.0000
0.8929 0.3929 0.0000
```

M_tot   0.00 Bohr magnetons per cell
DFT formation energy   0.04 eV/atom
Energy   -34.1 eV/cell

=====

No. 4
Material: NaLiMgTa2
Method: DFT, PBE-GGA
State: relaxed

Cell and atoms, written as POSCAR:
```
NaLiMgTa2
1.0
4.9845 0.0000 0.0000
0.0000 4.9845 0.0000
0.0000 0.0000 4.8411
Na Li Mg Ta
1 1 1 2
direct
0.0000 0.0000 0.0000
0.5000 0.5000 0.0000
0.5000 0.5000 0.5000
0.0000 0.5000 0.5000
0.5000 0.0000 0.5000
```

M_tot   0.00 Bohr magnetons per cell
DFT formation energy   1.75 eV/atom
Energy   -19.8 eV/cell

=====

No. 5
Material: Na2Li2MgTl5
Method: DFT, PBE-GGA
State: relaxed

Cell and atoms, written as POSCAR:
```
Na2Li2MgTl5
1.0
11.4460 0.0000 0.0000
0.0000 11.4460 0.0000
0.0000 0.0000 3.9058
Na Li Mg Tl
4 4 2 10
direct
0.1751 0.3249 0.0000
0.3249 0.8249 0.0000
0.6751 0.1751 0.0000
0.8249 0.6751 0.0000
0.1233 0.6233 0.0000
0.3767 0.1233 0.0000
0.6233 0.8767 0.0000
0.8767 0.3767 0.0000
0.0000 0.0000 0.0000
0.5000 0.5000 0.0000
0.0000 0.5000 0.5000
0.0638 0.7998 0.5000
0.2002 0.0638 0.5000
0.2998 0.5638 0.5000
0.4362 0.2998 0.5000
0.5000 0.0000 0.5000
0.5638 0.7002 0.5000
0.7002 0.4362 0.5000
0.7998 0.9362 0.5000
0.9362 0.2002 0.5000
```

M_tot   0.00 Bohr magnetons per cell
DFT formation energy   -0.10 eV/atom
Energy   -41.8 eV/cell

=====

No. 6
Material: NaLiMgTl
Method: DFT, PBE-GGA
State: relaxed

Cell and atoms, written as POSCAR:
```
NaLiMgTl
1.0
7.1701 0.0000 0.0000
0.0000 7.1701 0.0000
0.0000 0.0000 7.1701
Na Li Mg Tl
4 4 4 4
direct
0.0000 0.0000 0.0000
0.0000 0.5000 0.5000
0.5000 0.0000 0.5000
0.5000 0.5000 0.0000
0.2500 0.2500 0.7500
0.2500 0.7500 0.2500
0.7500 0.2500 0.2500
0.7500 0.7500 0.7500
0.2500 0.2500 0.2500
0.2500 0.7500 0.7500
0.7500 0.2500 0.7500
0.7500 0.7500 0.2500
0.0000 0.0000 0.5000
0.0000 0.5000 0.0000
0.5000 0.0000 0.0000
0.5000 0.5000 0.5000
```

M_tot   0.00 Bohr magnetons per cell
DFT formation energy   -0.12 eV/atom
Energy   -30.6 eV/cell